Entry 1:
Compound: Nd2Er3Tm2
Source: the Alexandria database
Functional: PBE-GGA
Structure: relaxed

Cell: 3.493 8.486 8.910 Å, 118.56 101.30 90.00°
Element x y z (fractional)
Nd1 0.433 0.087 0.866
Er1 0.211 0.798 0.423
Nd2 0.567 0.913 0.134
Er2 0.789 0.202 0.577
Tm1 0.849 0.665 0.698
Er3 0.000 0.500 0.000
Tm2 0.151 0.335 0.302

Output
distance to the lowest polymorph of the same formula	0.0000	eV per atom
ΔE_f	0.13	eV per atom

=====

Entry 2:
Compound: ZrReAg2
Source: the Alexandria database
Functional: PBE-GGA
Structure: relaxed

Cell: 3.440 3.440 6.162 Å, 90.00 90.00 90.00°
Element x y z (fractional)
Re1 0.000 0.000 0.510
Ag1 0.000 0.000 0.016
Zr1 0.500 0.500 0.728
Ag2 0.500 0.500 0.247

Output
distance to the lowest polymorph of the same formula	0.0357	eV per atom
ΔE_f	0.25	eV per atom

=====

Entry 3:
Compound: Ac3Zn9Ru2
Source: the Alexandria database
Functional: PBE-GGA
Structure: relaxed

Cell: 4.480 8.420 8.420 Å, 73.78 74.57 74.57°
Element x y z (fractional)
Zn1 0.653 0.686 0.009
Zn2 0.113 0.602 0.172
Ru1 0.500 0.341 0.659
Zn3 0.000 0.500 0.500
Zn4 0.653 0.009 0.686
Ru2 0.500 0.659 0.341
Zn5 0.887 0.398 0.828
Ac1 0.000 0.000 0.000
Zn6 0.347 0.991 0.314
Zn7 0.347 0.314 0.991
Zn8 0.113 0.172 0.602
Ac2 0.701 0.299 0.299
Ac3 0.299 0.701 0.701
Zn9 0.887 0.828 0.398

Output
ΔE_f	-0.23	eV per atom

=====

Entry 4:
Compound: Ce6CuIr3
Source: the Alexandria database
Functional: PBE-GGA
Structure: relaxed

Cell: 7.039 7.355 10.062 Å, 90.00 93.95 90.00°
Each line ends with the local moment (μB).
Element x y z (fractional)
Ce1 0.344 0.830 0.084  0.74
Ir1 0.000 0.000 0.500  -0.05
Ir2 0.964 0.377 0.788  -0.05
Ir3 0.036 0.623 0.212  -0.05
Cu1 0.000 0.000 0.000  0.01
Ir4 0.536 0.877 0.712  -0.05
Ce2 0.156 0.330 0.416  0.74
Ce3 0.310 0.571 0.750  0.62
Cu2 0.500 0.500 0.500  0.01
Ce4 0.190 0.071 0.750  0.62
Ce5 0.177 0.333 0.072  0.50
Ir5 0.500 0.500 0.000  -0.05
Ce6 0.677 0.167 0.572  0.50
Ce7 0.656 0.170 0.916  0.74
Ce8 0.810 0.929 0.250  0.62
Ir6 0.464 0.123 0.288  -0.05
Ce9 0.323 0.833 0.428  0.50
Ce10 0.844 0.670 0.584  0.74
Ce11 0.823 0.667 0.928  0.50
Ce12 0.690 0.429 0.250  0.62

Output
ΔE_f	-0.40	eV per atom

=====

Entry 5:
Compound: Zr2ScBr
Source: the Alexandria database
Functional: PBE-GGA
Structure: relaxed

Cell: 5.678 5.678 5.678 Å, 135.01 135.01 65.52°
Element x y z (fractional)
Sc1 0.750 0.250 0.500
Br1 0.500 0.500 0.000
Zr1 0.250 0.750 0.500
Zr2 0.000 0.000 0.000

Output
formation energy from raw total energies	170	meV per atom

=====

Entry 6:
Compound: Na2CuBi
Source: the Alexandria database
Functional: PBE-GGA
Structure: relaxed

Cell: 8.798 8.798 6.790 Å, 49.62 49.62 90.00°
Element x y z (fractional)
Na1 0.875 0.819 0.750
Na2 0.375 0.431 0.750
Na3 0.569 0.125 0.250
Cu1 0.500 0.500 0.000
Bi1 0.000 0.000 0.000
Na4 0.181 0.625 0.250
Cu2 0.250 0.750 0.500
Bi2 0.750 0.250 0.500

Output
ΔE_f	0.11	eV per atom

=====

| no. | N(E_F) (states/eV/cell) |
| --- | --- |
| 1 | 10.69 |
| 2 | 4.33 |
| 3 | 7.62 |
| 4 | 56.93 |
| 5 | 5.16 |
| 6 | 1.29 |